{"formula": "Cs3CBr6", "functional": "PBE-GGA", "state": "relaxed", "space_group": "Fm-3m", "vol_a3_per_fu": 387.5, "energy_ev_per_atom": -2.71, "magnetic_moment_mub_per_atom": 0.000, "e_form_raw_mev_per_atom": -526, "cell": [[0.000, 5.786, 5.786], [5.786, 0.000, 5.786], [5.786, 5.786, 0.000]], "species": ["Cs", "Cs", "Cs", "C", "Br", "Br", "Br", "Br", "Br", "Br"], "frac_coords": [[0.000, 0.000, 0.000], [0.250, 0.250, 0.250], [0.750, 0.750, 0.750], [0.500, 0.500, 0.500], [0.292, 0.292, 0.708], [0.292, 0.708, 0.292], [0.292, 0.708, 0.708], [0.708, 0.292, 0.292], [0.708, 0.292, 0.708], [0.708, 0.708, 0.292]]}